1.
NbTcNO: optimized geometry, PBE.

The structure in POSCAR format:
```
NbTcNO
1.0
3.072 0.000 0.000
0.000 5.919 0.000
0.000 0.000 5.387
Nb Tc N O
2 2 2 2
Direct
0.000 0.220 0.000
0.000 0.780 0.500
0.500 0.377 0.388
0.500 0.623 0.888
0.500 0.308 0.764
0.500 0.692 0.264
0.000 0.113 0.368
0.000 0.887 0.868
```

## Properties
**Energy above the lowest structure with this stoichiometry**: 0.000 eV per atom

2.
TbErSi2Mo2N: optimized geometry, PBE.

The structure in POSCAR format:
```
TbErSi2Mo2N
1.0
11.172 0.000 0.000
0.000 3.714 0.000
-4.172 0.000 5.786
Tb Er Si Mo N
2 2 4 4 2
Direct
0.000 0.000 0.000
0.500 0.500 0.000
0.147 0.000 0.589
0.647 0.500 0.589
0.205 0.500 0.957
0.442 0.000 0.632
0.705 0.000 0.957
0.942 0.500 0.632
0.277 0.500 0.380
0.371 0.000 0.212
0.777 0.000 0.380
0.871 0.500 0.212
0.075 0.500 0.299
0.575 0.000 0.299
```

## Properties
**E**: -7.95 eV/atom

3.
ErHfAsO: optimized geometry, PBE.

The structure in POSCAR format:
```
ErHfAsO
1.0
3.903 0.000 0.000
0.000 7.447 0.000
0.000 0.000 5.728
Er Hf As O
2 2 2 2
Direct
0.000 0.225 0.000
0.000 0.775 0.500
0.500 0.395 0.541
0.500 0.605 0.041
0.000 0.155 0.496
0.000 0.845 0.996
0.500 0.344 0.910
0.500 0.656 0.410
```

## Properties
**Energy above the lowest structure with this stoichiometry**: 0.181 eV per atom

4.
ThTaTl: optimized geometry, PBE.

The structure in POSCAR format:
```
ThTaTl
1.0
6.981 0.000 0.000
0.000 6.981 0.000
0.000 0.000 6.981
Th Ta Tl
4 4 4
Direct
0.000 0.000 0.000
0.000 0.500 0.500
0.500 0.000 0.500
0.500 0.500 0.000
0.250 0.250 0.750
0.250 0.750 0.250
0.750 0.250 0.250
0.750 0.750 0.750
0.000 0.000 0.500
0.000 0.500 0.000
0.500 0.000 0.000
0.500 0.500 0.500
```

## Properties
**Energy above the lowest structure with this stoichiometry**: 0.000 eV per atom

5.
ZnCu: optimized geometry, PBE.

The structure in POSCAR format:
```
ZnCu
1.0
2.647 0.000 0.000
-1.323 2.292 0.000
0.000 0.000 4.196
Zn Cu
1 1
Direct
0.000 0.000 0.000
0.333 0.667 0.500
```

## Properties
**DFT formation energy**: -0.062 eV/atom

6.
Ni12Te: optimized geometry, PBE.

The structure in POSCAR format:
```
Ni12Te
1.0
10.382 0.000 0.000
0.000 2.593 0.000
-0.231 0.000 24.739
Ni Te
24 2
Direct
0.027 0.250 0.106
0.032 0.250 0.815
0.083 0.750 0.025
0.139 0.250 0.943
0.191 0.750 0.156
0.196 0.750 0.859
0.250 0.250 0.073
0.305 0.750 0.992
0.359 0.250 0.910
0.414 0.750 0.830
0.417 0.750 0.122
0.473 0.250 0.041
0.527 0.750 0.959
0.583 0.250 0.878
0.586 0.250 0.170
0.641 0.750 0.090
0.695 0.250 0.008
0.750 0.750 0.927
0.804 0.250 0.141
0.809 0.250 0.844
0.861 0.750 0.057
0.917 0.250 0.975
0.968 0.750 0.185
0.973 0.750 0.894
0.363 0.250 0.215
0.637 0.750 0.785
```

## Properties
**Energy above the lowest structure with this stoichiometry**: 0.196 eV per atom

7.
Li2TaZnGa2Ir2: optimized geometry, PBE.

The structure in POSCAR format:
```
Li2TaZnGa2Ir2
1.0
4.335 0.000 0.000
0.000 4.335 0.000
0.000 0.000 6.118
Li Ta Zn Ga Ir
2 1 1 2 2
Direct
0.000 0.500 0.219
0.500 0.000 0.781
0.500 0.500 0.500
0.000 0.000 0.000
0.000 0.000 0.500
0.500 0.500 0.000
0.000 0.500 0.737
0.500 0.000 0.263
```

## Properties
**E**: -5.57 eV/atom

8.
Tb3DyPb2C2: optimized geometry, PBE.

The structure in POSCAR format:
```
Tb3DyPb2C2
1.0
3.649 0.000 0.000
-1.825 3.161 0.000
0.000 0.000 16.223
Tb Dy Pb C
3 1 2 2
Direct
0.000 0.000 0.000
0.000 0.000 0.334
0.333 0.667 0.500
0.333 0.667 0.834
0.000 0.000 0.667
0.333 0.667 0.167
0.667 0.333 0.417
0.667 0.333 0.917
```

## Properties
**E**: -6.02 eV/atom

9.
KPrP2S6: optimized geometry, PBE.

The structure in POSCAR format:
```
KPrP2S6
1.0
12.085 0.000 0.000
0.000 7.546 0.000
-3.753 0.000 10.729
K Pr P S
4 4 8 24
Direct
0.127 0.091 0.374
0.127 0.409 0.874
0.873 0.591 0.126
0.873 0.909 0.626
0.352 0.606 0.597
0.352 0.894 0.097
0.648 0.106 0.903
0.648 0.394 0.403
0.211 0.620 0.269
0.211 0.880 0.769
0.330 0.101 0.755
0.330 0.399 0.255
0.670 0.601 0.745
0.670 0.899 0.245
0.789 0.120 0.231
0.789 0.380 0.731
0.115 0.524 0.369
0.115 0.976 0.869
0.132 0.707 0.092
0.132 0.793 0.592
0.226 0.212 0.145
0.226 0.288 0.645
0.325 0.691 0.865
0.325 0.809 0.365
0.412 0.185 0.934
0.412 0.315 0.434
0.448 0.520 0.186
0.448 0.980 0.686
0.552 0.020 0.314
0.552 0.480 0.814
0.588 0.685 0.566
0.588 0.815 0.066
0.675 0.191 0.635
0.675 0.309 0.135
0.774 0.712 0.355
0.774 0.788 0.855
0.868 0.207 0.408
0.868 0.293 0.908
0.885 0.024 0.131
0.885 0.476 0.631
```

## Properties
**E**: -5.13 eV/atom

10.
GdScFe: optimized geometry, PBE.

The structure in POSCAR format:
```
GdScFe
1.0
6.511 0.000 0.000
0.000 6.511 0.000
0.000 0.000 6.511
Gd Sc Fe
4 4 4
Direct
0.000 0.000 0.000
0.000 0.500 0.500
0.500 0.000 0.500
0.500 0.500 0.000
0.250 0.250 0.250
0.250 0.750 0.750
0.750 0.250 0.750
0.750 0.750 0.250
0.250 0.250 0.750
0.250 0.750 0.250
0.750 0.250 0.250
0.750 0.750 0.750
```

## Properties
**DFT formation energy**: 0.988 eV/atom
**Energy above the lowest structure with this stoichiometry**: 0.799 eV per atom

11.
Al3Co10: optimized geometry, PBE.

The structure in POSCAR format:
```
Al3Co10
1.0
2.337 1.349 8.014
-2.337 1.349 8.014
0.000 -2.698 8.014
Al Co
3 10
Direct
0.000 0.000 0.000
0.353 0.353 0.353
0.647 0.647 0.647
0.090 0.090 0.580
0.090 0.580 0.090
0.164 0.164 0.164
0.420 0.910 0.910
0.455 0.455 0.455
0.545 0.545 0.545
0.580 0.090 0.090
0.836 0.836 0.836
0.910 0.420 0.910
0.910 0.910 0.420
```

## Properties
**Energy above the lowest structure with this stoichiometry**: 0.026 eV per atom

12.
TbDy2In3Fe2Cu: optimized geometry, PBE.

The structure in POSCAR format:
```
TbDy2In3Fe2Cu
1.0
3.905 0.000 0.000
0.000 6.464 3.731
0.000 -6.464 3.731
Tb Dy In Fe Cu
1 2 3 2 1
Direct
0.000 0.000 0.000
0.000 0.411 0.822
0.000 0.822 0.411
0.500 0.154 0.412
0.500 0.412 0.154
0.500 0.668 0.668
0.500 0.078 0.744
0.500 0.744 0.078
0.000 0.411 0.411
```

## Properties
**E**: -4.93 eV/atom

13.
DyBMoN2: optimized geometry, PBE.

The structure in POSCAR format:
```
DyBMoN2
1.0
5.836 0.000 0.000
0.000 3.107 0.000
-0.789 0.000 6.035
Dy B Mo N
2 2 2 4
Direct
0.120 0.250 0.252
0.880 0.750 0.748
0.439 0.750 0.515
0.561 0.250 0.485
0.372 0.250 0.796
0.628 0.750 0.204
0.202 0.750 0.570
0.273 0.750 0.017
0.727 0.250 0.983
0.798 0.250 0.430
```

## Properties
**E**: -8.60 eV/atom

14.
PmDy3S6: optimized geometry, PBE.

The structure in POSCAR format:
```
PmDy3S6
1.0
11.059 0.000 0.000
0.000 3.979 0.000
-3.627 0.000 10.739
Pm Dy S
2 6 12
Direct
0.047 0.250 0.193
0.953 0.750 0.807
0.161 0.250 0.586
0.319 0.750 0.998
0.437 0.250 0.332
0.563 0.750 0.668
0.681 0.250 0.002
0.839 0.750 0.414
0.082 0.750 0.404
0.115 0.250 0.963
0.194 0.750 0.749
0.260 0.750 0.226
0.397 0.250 0.561
0.478 0.250 0.112
0.522 0.750 0.888
0.603 0.750 0.439
0.740 0.250 0.774
0.806 0.250 0.251
0.885 0.750 0.037
0.918 0.250 0.596
```

## Properties
**E**: -6.42 eV/atom

15.
DyCuSnSe3: optimized geometry, PBE.

The structure in POSCAR format:
```
DyCuSnSe3
1.0
9.145 -2.018 0.000
9.145 2.018 0.000
-1.879 0.000 7.988
Dy Cu Sn Se
2 2 2 6
Direct
0.162 0.162 0.083
0.838 0.838 0.917
0.460 0.460 0.792
0.540 0.540 0.208
0.124 0.124 0.566
0.876 0.876 0.434
0.000 0.000 0.000
0.325 0.325 0.153
0.325 0.325 0.669
0.500 0.500 0.500
0.675 0.675 0.331
0.675 0.675 0.847
```

## Properties
**E**: -4.69 eV/atom

16.
ScFeHgB: optimized geometry, PBE.

The structure in POSCAR format:
```
ScFeHgB
1.0
6.239 0.000 0.000
0.000 6.239 0.000
0.000 0.000 6.239
Sc Fe Hg B
4 4 4 4
Direct
0.000 0.000 0.000
0.000 0.500 0.500
0.500 0.000 0.500
0.500 0.500 0.000
0.000 0.000 0.500
0.000 0.500 0.000
0.500 0.000 0.000
0.500 0.500 0.500
0.250 0.250 0.750
0.250 0.750 0.250
0.750 0.250 0.250
0.750 0.750 0.750
0.250 0.250 0.250
0.250 0.750 0.750
0.750 0.250 0.750
0.750 0.750 0.250
```

## Properties
**Energy above the lowest structure with this stoichiometry**: 0.000 eV per atom

17.
YHoSe2: optimized geometry, PBE.

The structure in POSCAR format:
```
YHoSe2
1.0
4.061 0.000 0.000
0.000 4.061 0.000
0.000 0.000 5.748
Y Ho Se
1 1 2
Direct
0.000 0.000 0.000
0.500 0.500 0.500
0.000 0.000 0.500
0.500 0.500 0.000
```

## Properties
**E**: -6.24 eV/atom

18.
Hf2Nb4Co3C3: optimized geometry, PBE.

The structure in POSCAR format:
```
Hf2Nb4Co3C3
1.0
4.676 -2.694 0.000
4.676 2.694 0.000
-3.174 0.000 13.050
Hf Nb Co C
4 8 6 6
Direct
0.040 0.875 0.618
0.125 0.960 0.882
0.875 0.040 0.118
0.960 0.125 0.382
0.196 0.362 0.092
0.299 0.473 0.408
0.362 0.196 0.592
0.473 0.299 0.908
0.527 0.701 0.092
0.638 0.804 0.408
0.701 0.527 0.592
0.804 0.638 0.908
0.086 0.392 0.750
0.392 0.086 0.250
0.432 0.568 0.250
0.568 0.432 0.750
0.608 0.914 0.750
0.914 0.608 0.250
0.000 0.500 0.500
0.163 0.675 0.000
0.325 0.837 0.500
0.500 0.000 0.000
0.675 0.163 0.500
0.837 0.325 0.000
```

## Properties
**E**: -9.48 eV/atom

19.
Tb2NdIrPd2Pb3: optimized geometry, PBE.

The structure in POSCAR format:
```
Tb2NdIrPd2Pb3
1.0
3.942 0.000 0.000
0.000 6.791 3.916
0.000 -6.791 3.916
Tb Nd Ir Pd Pb
2 1 1 2 3
Direct
0.000 0.199 0.801
0.000 0.801 0.199
0.000 0.599 0.599
0.000 0.196 0.196
0.500 0.531 0.870
0.500 0.870 0.531
0.500 0.197 0.461
0.500 0.461 0.197
0.500 0.937 0.937
```

## Properties
**E**: -5.60 eV/atom

20.
LaPr2Cu2Si2Ge2Pd2: optimized geometry, PBE.

The structure in POSCAR format:
```
LaPr2Cu2Si2Ge2Pd2
1.0
-2.128 2.145 12.131
2.128 -2.145 12.131
2.128 2.145 -12.131
La Pr Cu Si Ge Pd
1 2 2 2 2 2
Direct
0.000 0.000 0.000
0.150 0.650 0.500
0.850 0.350 0.500
0.401 0.901 0.500
0.599 0.099 0.500
0.304 0.804 0.500
0.696 0.196 0.500
0.447 0.447 0.000
0.553 0.553 0.000
0.249 0.249 0.000
0.751 0.751 0.000
```

## Properties
**Energy above the lowest structure with this stoichiometry**: 0.000 eV per atom

21.
HoScRe: optimized geometry, PBE.

The structure in POSCAR format:
```
HoScRe
1.0
6.511 0.000 0.000
0.000 6.511 0.000
0.000 0.000 6.511
Ho Sc Re
4 4 4
Direct
0.000 0.000 0.000
0.000 0.500 0.500
0.500 0.000 0.500
0.500 0.500 0.000
0.250 0.250 0.250
0.250 0.750 0.750
0.750 0.250 0.750
0.750 0.750 0.250
0.000 0.000 0.500
0.000 0.500 0.000
0.500 0.000 0.000
0.500 0.500 0.500
```

## Properties
**DFT formation energy**: 0.938 eV/atom

22.
PmScPt: optimized geometry, PBE.

The structure in POSCAR format:
```
PmScPt
1.0
6.555 0.000 0.000
0.000 6.555 0.000
0.000 0.000 6.555
Pm Sc Pt
4 4 4
Direct
0.000 0.000 0.000
0.000 0.500 0.500
0.500 0.000 0.500
0.500 0.500 0.000
0.250 0.250 0.250
0.250 0.750 0.750
0.750 0.250 0.750
0.750 0.750 0.250
0.000 0.000 0.500
0.000 0.500 0.000
0.500 0.000 0.000
0.500 0.500 0.500
```

## Properties
**DFT formation energy**: -0.227 eV/atom